Below is a geometry-optimized NaCrSi3 structure, with properties calculated at the GGA-PBE level.

Lattice parameters (Å, degrees): 4.741 4.741 4.741 90.00 90.00 90.00
Fractional coordinates of all 5 atoms:
Na (0.000, 0.000, 0.000)
Cr (0.500, 0.500, 0.500)
Si (0.000, 0.000, 0.500)
Si (0.000, 0.500, 0.000)
Si (0.500, 0.000, 0.000)

formation energy (no corrections) = 2.0966 eV/atom
V = 21.315 Å³ per atom
relative energy among the computed polymorphs = 1.902 eV per atom
space group = Pm-3m (221)
total magnetic moment = 0.3 μB/cell
total DFT energy (no corrections) = -0.2459 Ry/atom